[1]
A geometry-optimized Te2MoSN structure. Source: Alexandria, functional GGA-PBE.

Results
The calculation puts the total energy at -4.79 eV per atom. The space group is P4/mmm. For the formation energy (no corrections), the calculation gives 1.13 eV per atom. The volume comes out at 98 Å³ per cell. Its relative energy among the computed polymorphs is 680 meV/atom.

Cell: 5.422 5.422 3.323 Å, 90.00 90.00 90.00°
Last column: magnetic moment on the atom in μB.
Sites, in units of the cell vectors:
Mo: 0.500 0.500 0.500  2.35
Te: 0.000 0.500 0.000  -0.09
Te: 0.500 0.000 0.000  -0.09
S: 0.000 0.000 0.000  0.00
N: 0.000 0.000 0.500  0.01



[2]
A geometry-optimized Na2CoAu structure. Source: Alexandria, functional GGA-PBE.

Results
The calculation puts the total energy at -2.78 eV per atom. For the formation energy, the calculation gives 0.48 eV per atom. The space group is I-42d. The volume comes out at 167 Å³ per cell.

Cell: 8.002 8.002 6.233 Å, 50.07 50.07 90.00°
Last column: magnetic moment on the atom in μB.
Sites, in units of the cell vectors:
Co: 0.500 0.500 0.000  1.86
Co: 0.250 0.750 0.500  1.86
Au: 0.000 0.000 0.000  0.03
Au: 0.750 0.250 0.500  0.03
Na: 0.623 0.125 0.250  -0.01
Na: 0.127 0.625 0.250  -0.01
Na: 0.375 0.377 0.750  -0.01
Na: 0.875 0.873 0.750  -0.01



[3]
A geometry-optimized MnRe2Mo structure. Source: Alexandria, functional GGA-PBE.

Results
The calculation puts the total energy at -11.13 eV per atom. For the formation energy, the calculation gives 0.10 eV per atom. The space group is C2/m. The volume comes out at 59 Å³ per cell. Its relative energy among the computed polymorphs is 11 meV/atom.

Cell: 5.085 5.147 2.667 Å, 79.54 80.98 116.96°
Last column: magnetic moment on the atom in μB.
Sites, in units of the cell vectors:
Mn: 0.000 0.500 0.500  2.66
Mo: 0.500 0.500 0.000  -0.10
Re: 0.000 0.000 0.000  -0.03
Re: 0.500 0.000 0.500  -0.03



[4]
A geometry-optimized Th4Bi2Ru structure. Source: Alexandria, functional GGA-PBE.

Results
The calculation puts the total energy at -7.06 eV per atom. For the formation energy, the calculation gives -0.39 eV per atom. The space group is P2_1/m. The volume comes out at 423 Å³ per cell.

Cell: 6.550 6.728 10.471 Å, 90.00 113.60 90.00°
Sites, in units of the cell vectors:
Th: 0.509 0.485 0.258
Th: 0.081 0.750 0.896
Th: 0.919 0.250 0.104
Th: 0.509 0.015 0.258
Th: 0.889 0.250 0.592
Th: 0.491 0.985 0.742
Th: 0.491 0.515 0.742
Th: 0.111 0.750 0.408
Bi: 0.696 0.750 0.053
Bi: 0.304 0.250 0.947
Bi: 0.256 0.250 0.442
Bi: 0.744 0.750 0.558
Ru: 0.166 0.750 0.171
Ru: 0.834 0.250 0.829